Record 1
Computed, not measured: crystalline Cu2TeRu at its relaxed geometry at the PBE level of DFT.

Cell: 4.6319 3.1228 4.4681 Å, 91.32 90.00 90.00°
Closest atoms and distances in Å follow each position.
Positions (direct):
1 Cu 0.0000 0.9607 0.0241  2 Cu 2.44-2.68, 2 Ru 2.68, 2 Te 2.69
2 Cu 0.0000 0.5393 0.4759  2 Cu 2.44-2.68, 2 Ru 2.68, 2 Te 2.69
3 Ru 0.5000 0.2500 0.2500  4 Cu 2.68, 4 Te 2.70-2.75
4 Te 0.5000 0.7500 0.7500  4 Cu 2.69, 4 Ru 2.70-2.75

Summary:
E_tot ... -4.734 eV/atom
Symmetry ... P2/m
Energy relative to the elements, uncorrected ... 0.4184 eV per atom

***

Record 2
Computed, not measured: crystalline CuTe2Ru at its relaxed geometry at the PBE level of DFT.

Cell: 5.6832 5.6832 5.6832 Å, 139.13 139.13 59.17°
Closest atoms and distances in Å follow each position.
Positions (direct):
1 Cu 0.5000 0.5000 0.0000  4 Te 2.81
2 Ru 0.7500 0.2500 0.5000  4 Te 2.81
3 Te 0.0000 0.0000 0.0000  4 Cu 2.81
4 Te 0.2500 0.7500 0.5000  4 Ru 2.81

Summary:
E_tot ... -4.382 eV/atom
Symmetry ... I-4m2
Polymorph energy (0 for the lowest one) ... 450.3 meV/atom
Energy relative to the elements, uncorrected ... 0.5316 eV per atom

***

Record 3
Computed, not measured: crystalline CuTe2Ru at its relaxed geometry at the PBE level of DFT.

Cell: 4.2978 4.2978 6.8294 Å, 71.63 71.63 50.04°
Closest atoms and distances in Å follow each position.
Positions (direct):
1 Cu 0.5051 0.5051 0.5252  3 Te 2.46-2.63, 3 Ru 2.52-2.69
2 Ru 0.7422 0.7422 0.6992  3 Cu 2.52-2.69, 3 Te 2.68-2.75
3 Te 0.9915 0.9915 0.9026  3 Ru 2.68-2.75
4 Te 0.2612 0.2612 0.3730  3 Cu 2.46-2.63

Summary:
E_tot ... -4.820 eV/atom
Symmetry ... Cm
Polymorph energy (0 for the lowest one) ... 12.4 meV/atom
Energy relative to the elements, uncorrected ... 0.0937 eV per atom

***

Record 4
Computed, not measured: crystalline CuTeRu2 at its relaxed geometry at the PBE level of DFT.

Cell: 2.9339 2.9339 8.4728 Å, 90.00 90.00 115.94°
Closest atoms and distances in Å follow each position.
Positions (direct):
1 Cu 0.5000 0.5000 0.7500  4 Ru 2.56
2 Ru 0.0000 0.0000 0.9903  2 Cu 2.56, 2 Te 2.70
3 Ru 0.0000 0.0000 0.5097  2 Cu 2.56, 2 Te 2.70
4 Te 0.5000 0.5000 0.2500  4 Ru 2.70, 4 Te 2.93

Summary:
E_tot ... -5.632 eV/atom
Symmetry ... Cmmm
Energy relative to the elements, uncorrected ... 0.8155 eV per atom

***

Record 5
Computed, not measured: crystalline Cu2TeRu at its relaxed geometry at the PBE level of DFT.

Cell: 3.8385 3.8385 4.1383 Å, 90.00 90.00 90.01°
Closest atoms and distances in Å follow each position.
Positions (direct):
1 Cu 0.0000 0.0000 0.0000  4 Cu 2.71, 4 Ru 2.82, 4 Te 2.82
2 Cu 0.5000 0.5000 0.0000  4 Cu 2.71, 4 Te 2.82, 4 Ru 2.82
3 Ru 0.5000 0.0000 0.5000  4 Te 2.71, 8 Cu 2.82
4 Te 0.0000 0.5000 0.5000  4 Ru 2.71, 8 Cu 2.82

Summary:
E_tot ... -4.838 eV/atom
Symmetry ... P4/mmm
Energy relative to the elements, uncorrected ... 0.3147 eV per atom

***

Record 6
Computed, not measured: crystalline CuTe2Ru at its relaxed geometry at the PBE level of DFT.

Cell: 5.9470 5.9470 7.2212 Å, 65.68 65.68 90.00°
Closest atoms and distances in Å follow each position.
Positions (direct):
1 Ru 0.0000 0.0000 0.0000  4 Te 2.55
2 Ru 0.7500 0.2500 0.5000  4 Te 2.55
3 Te 0.6292 0.1250 0.2500  2 Ru 2.55, 2 Cu 2.58
4 Te 0.1208 0.6250 0.2500  2 Ru 2.55, 2 Cu 2.58
5 Te 0.3750 0.3708 0.7500  2 Ru 2.55, 2 Cu 2.58
6 Te 0.8750 0.8792 0.7500  2 Ru 2.55, 2 Cu 2.58
7 Cu 0.5000 0.5000 0.0000  4 Te 2.58
8 Cu 0.2500 0.7500 0.5000  4 Te 2.58

Summary:
E_tot ... -4.776 eV/atom
Symmetry ... I-42d
Polymorph energy (0 for the lowest one) ... 56.7 meV/atom
Energy relative to the elements, uncorrected ... 0.1380 eV per atom

***

Record 7
Computed, not measured: crystalline CuTe2Ru at its relaxed geometry at the PBE level of DFT.

Cell: 4.7440 4.7440 4.7440 Å, 60.00 60.00 60.00°
Closest atoms and distances in Å follow each position.
Positions (direct):
1 Ru 0.5000 0.5000 0.5000  8 Te 2.91
2 Te 0.2500 0.2500 0.2500  4 Ru 2.91, 4 Cu 2.91
3 Te 0.7500 0.7500 0.7500  4 Ru 2.91, 4 Cu 2.91
4 Cu 0.0000 0.0000 0.0000  8 Te 2.91

Summary:
E_tot ... -4.631 eV/atom
Symmetry ... Fm-3m
Polymorph energy (0 for the lowest one) ... 201.4 meV/atom
Energy relative to the elements, uncorrected ... 0.2827 eV per atom

***

Record 8
Computed, not measured: crystalline CuTe2Ru at its relaxed geometry at the PBE level of DFT.

Cell: 3.2777 3.3283 7.5947 Å, 70.79 90.00 90.00°
Closest atoms and distances in Å follow each position.
Positions (direct):
1 Cu 0.5000 0.2500 0.2500  4 Te 2.77
2 Ru 0.5000 0.7500 0.7500  8 Te 2.83-2.93
3 Te 0.0000 0.1004 0.9837  2 Cu 2.77, 4 Ru 2.83-2.93
4 Te 0.0000 0.3996 0.5163  2 Cu 2.77, 4 Ru 2.83-2.93

Summary:
E_tot ... -4.615 eV/atom
Symmetry ... P2/m
Polymorph energy (0 for the lowest one) ... 217.9 meV/atom
Energy relative to the elements, uncorrected ... 0.2992 eV per atom

***

Record 9
Computed, not measured: crystalline CuTe2Ru at its relaxed geometry at the PBE level of DFT.

Cell: 4.9419 4.3340 4.3267 Å, 71.36 90.00 90.00°
Closest atoms and distances in Å follow each position.
Positions (direct):
1 Cu 0.0000 0.5205 0.5209  5 Te 2.58-2.71, 2 Ru 2.88
2 Ru 0.5000 0.7310 0.7309  5 Te 2.60-2.70, 2 Cu 2.88
3 Te 0.0000 0.8872 0.8867  3 Cu 2.58-2.70, 2 Ru 2.70
4 Te 0.5000 0.3614 0.3615  3 Ru 2.60-2.69, 2 Cu 2.71

Summary:
E_tot ... -4.819 eV/atom
Symmetry ... Amm2
Polymorph energy (0 for the lowest one) ... 13.3 meV/atom
Energy relative to the elements, uncorrected ... 0.0946 eV per atom

***

Record 10
Computed, not measured: crystalline Cu2TeRu at its relaxed geometry at the PBE level of DFT.

Cell: 7.2293 7.2293 5.7235 Å, 50.84 50.84 90.00°
Closest atoms and distances in Å follow each position.
Positions (direct):
1 Ru 0.5000 0.5000 0.0000  2 Te 2.57, 4 Cu 2.62
2 Ru 0.2500 0.7500 0.5000  2 Te 2.57, 4 Cu 2.62
3 Te 0.0000 0.0000 0.0000  2 Ru 2.57, 4 Cu 2.66
4 Te 0.7500 0.2500 0.5000  2 Ru 2.57, 4 Cu 2.66
5 Cu 0.6209 0.1250 0.2500  2 Cu 2.58, 2 Ru 2.62, 2 Te 2.66
6 Cu 0.1291 0.6250 0.2500  2 Cu 2.58, 2 Ru 2.62, 2 Te 2.66
7 Cu 0.3750 0.3791 0.7500  2 Cu 2.58, 2 Ru 2.62, 2 Te 2.66
8 Cu 0.8750 0.8709 0.7500  2 Cu 2.58, 2 Ru 2.62, 2 Te 2.66

Summary:
E_tot ... -4.637 eV/atom
Symmetry ... I-42d
Energy relative to the elements, uncorrected ... 0.5154 eV per atom

***

Record 11
Computed, not measured: crystalline CuTeRu2 at its relaxed geometry at the PBE level of DFT.

Cell: 4.9611 4.9611 4.6055 Å, 70.28 70.28 36.12°
Closest atoms and distances in Å follow each position.
Positions (direct):
1 Cu 0.7368 0.7368 0.8310  7 Ru 2.60-2.79, 1 Te 2.86
2 Ru 0.9949 0.9949 0.9157  3 Cu 2.60-2.66, 2 Te 2.63, 2 Ru 2.79
3 Ru 0.2581 0.2581 0.3123  3 Te 2.65-2.68, 4 Cu 2.76-2.79, 2 Ru 2.79
4 Te 0.5102 0.5102 0.4411  7 Ru 2.63-2.91, 1 Cu 2.86

Summary:
E_tot ... -6.099 eV/atom
Symmetry ... Cm
Energy relative to the elements, uncorrected ... 0.3482 eV per atom

***

Record 12
Computed, not measured: crystalline Cu3TeRu at its relaxed geometry at the PBE level of DFT.

Cell: 4.6740 4.6740 4.6740 Å, 90.00 90.00 90.00°
Closest atoms and distances in Å follow each position.
Positions (direct):
1 Ru 0.0000 0.0000 0.0000  6 Cu 2.34
2 Te 0.5000 0.5000 0.5000  12 Cu 3.31
3 Cu 0.0000 0.5000 0.0000  2 Ru 2.34
4 Cu 0.0000 0.0000 0.5000  2 Ru 2.34
5 Cu 0.5000 0.0000 0.0000  2 Ru 2.34

Summary:
E_tot ... -3.821 eV/atom
Symmetry ... Pm-3m
Polymorph energy (0 for the lowest one) ... 0.0 meV/atom
Energy relative to the elements, uncorrected ... 1.1201 eV per atom

***

Record 13
Computed, not measured: crystalline CuTeRu2 at its relaxed geometry at the PBE level of DFT.

Cell: 4.3662 2.9910 4.9489 Å, 89.57 90.00 90.00°
Closest atoms and distances in Å follow each position.
Positions (direct):
1 Cu 0.5000 0.7500 0.7500  4 Ru 2.60, 4 Te 2.88-2.90
2 Ru 0.0000 0.0353 0.9756  2 Ru 2.57-2.82, 2 Cu 2.60, 2 Te 2.65
3 Ru 0.0000 0.4647 0.5244  2 Ru 2.57-2.82, 2 Cu 2.60, 2 Te 2.65
4 Te 0.5000 0.2500 0.2500  4 Ru 2.65, 4 Cu 2.88-2.90

Summary:
E_tot ... -5.934 eV/atom
Symmetry ... P2/m
Energy relative to the elements, uncorrected ... 0.5133 eV per atom

***

Record 14
Computed, not measured: crystalline Cu2TeRu at its relaxed geometry at the PBE level of DFT.

Cell: 4.4280 4.4280 4.4280 Å, 60.00 60.00 60.00°
Closest atoms and distances in Å follow each position.
Positions (direct):
1 Cu 0.0000 0.0000 0.0000  4 Cu 2.71, 4 Te 2.71
2 Cu 0.2500 0.2500 0.2500  4 Ru 2.71, 4 Cu 2.71
3 Ru 0.5000 0.5000 0.5000  4 Te 2.71, 4 Cu 2.71
4 Te 0.7500 0.7500 0.7500  4 Cu 2.71, 4 Ru 2.71

Summary:
E_tot ... -4.824 eV/atom
Symmetry ... F-43m
Energy relative to the elements, uncorrected ... 0.3289 eV per atom

***

Record 15
Computed, not measured: crystalline CuTe2Ru at its relaxed geometry at the PBE level of DFT.

Cell: 6.9693 6.9693 6.9693 Å, 153.30 146.78 43.12°
Closest atoms and distances in Å follow each position.
Positions (direct):
1 Cu 0.4387 0.4387 0.0000  6 Te 2.76-2.94
2 Ru 0.2188 0.7188 0.5000  6 Te 2.71-2.73
3 Te 0.0508 0.0508 0.0000  2 Ru 2.71, 4 Cu 2.94
4 Te 0.7917 0.2917 0.5000  4 Ru 2.73, 2 Cu 2.76

Summary:
E_tot ... -4.661 eV/atom
Symmetry ... Imm2
Polymorph energy (0 for the lowest one) ... 171.4 meV/atom
Energy relative to the elements, uncorrected ... 0.2527 eV per atom

***

Record 16
Computed, not measured: crystalline CuTeRu2 at its relaxed geometry at the PBE level of DFT.

Cell: 3.9064 3.9064 9.4056 Å, 78.01 78.01 90.00°
Closest atoms and distances in Å follow each position.
Positions (direct):
1 Ru 0.5728 0.1250 0.2500  2 Ru 2.49, 2 Cu 2.57, 2 Te 2.72
2 Ru 0.1772 0.6250 0.2500  2 Ru 2.49, 2 Cu 2.57, 2 Te 2.72
3 Ru 0.3750 0.4272 0.7500  2 Ru 2.49, 2 Cu 2.57, 2 Te 2.72
4 Ru 0.8750 0.8228 0.7500  2 Ru 2.49, 2 Cu 2.57, 2 Te 2.72
5 Te 0.0000 0.0000 0.0000  4 Ru 2.72, 4 Cu 2.76
6 Te 0.7500 0.2500 0.5000  4 Ru 2.72, 4 Cu 2.76
7 Cu 0.5000 0.5000 0.0000  4 Ru 2.57, 4 Te 2.76
8 Cu 0.2500 0.7500 0.5000  4 Ru 2.57, 4 Te 2.76

Summary:
E_tot ... -5.904 eV/atom
Symmetry ... I-42d
Energy relative to the elements, uncorrected ... 0.5430 eV per atom

***

Record 17
Computed, not measured: crystalline Cu2TeRu at its relaxed geometry at the PBE level of DFT.

Cell: 8.9007 8.9007 8.9007 Å, 19.19 19.19 19.19°
Closest atoms and distances in Å follow each position.
Positions (direct):
1 Cu 0.9927 0.9927 0.9927  3 Ru 2.63, 3 Te 2.93
2 Cu 0.5073 0.5073 0.5073  3 Ru 2.63, 3 Te 2.93
3 Ru 0.2500 0.2500 0.2500  6 Cu 2.63
4 Te 0.7500 0.7500 0.7500  6 Cu 2.93, 6 Te 2.97

Summary:
E_tot ... -4.549 eV/atom
Symmetry ... R-3m
Energy relative to the elements, uncorrected ... 0.6034 eV per atom

***

Record 18
Computed, not measured: crystalline CuTe2Ru at its relaxed geometry at the PBE level of DFT.

Cell: 7.1001 4.7607 3.3889 Å, 90.16 61.24 125.06°
Closest atoms and distances in Å follow each position.
Positions (direct):
1 Cu 0.0000 0.5000 0.5000  8 Te 2.92-2.93, 2 Ru 3.11
2 Ru 0.5000 0.5000 0.0000  8 Te 2.92-2.93, 2 Cu 3.11
3 Te 0.0000 0.0000 0.0000  4 Cu 2.92-2.93, 4 Ru 2.92-2.93, 2 Te 3.11
4 Te 0.5000 0.0000 0.5000  4 Ru 2.92-2.93, 4 Cu 2.92-2.93, 2 Te 3.11

Summary:
E_tot ... -4.514 eV/atom
Symmetry ... C2/m
Polymorph energy (0 for the lowest one) ... 318.7 meV/atom
Energy relative to the elements, uncorrected ... 0.3999 eV per atom

***

Record 19
Computed, not measured: crystalline CuTeRu2 at its relaxed geometry at the PBE level of DFT.

Cell: 4.8903 4.8903 4.8903 Å, 132.91 132.91 68.80°
Closest atoms and distances in Å follow each position.
Positions (direct):
1 Cu 0.7500 0.2500 0.5000  8 Ru 2.76-2.81, 4 Te 2.81
2 Ru 0.0000 0.0000 0.0000  4 Te 2.76, 4 Cu 2.81, 4 Ru 2.81
3 Ru 0.2500 0.7500 0.5000  4 Cu 2.76, 4 Ru 2.81, 4 Te 2.81
4 Te 0.5000 0.5000 0.0000  8 Ru 2.76-2.81, 4 Cu 2.81

Summary:
E_tot ... -6.020 eV/atom
Symmetry ... I-4m2
Energy relative to the elements, uncorrected ... 0.4276 eV per atom

***

Record 20
Computed, not measured: crystalline Cu4TeRu at its relaxed geometry at the PBE level of DFT.

Cell: 4.9254 4.9254 4.9254 Å, 60.00 60.00 60.00°
Closest atoms and distances in Å follow each position.
Positions (direct):
1 Cu 0.8721 0.3760 0.3760  6 Cu 2.44-2.48
2 Cu 0.3760 0.3760 0.8721  6 Cu 2.44-2.48
3 Cu 0.3760 0.8721 0.3760  6 Cu 2.44-2.48
4 Cu 0.3760 0.3760 0.3760  6 Cu 2.44-2.48
5 Te 0.0000 0.0000 0.0000  12 Cu 2.89, 4 Ru 3.02
6 Ru 0.7500 0.7500 0.7500  12 Cu 2.89, 4 Te 3.02

Summary:
E_tot ... -4.512 eV/atom
Symmetry ... F-43m
Energy relative to the elements, uncorrected ... 0.2886 eV per atom